1.
VASP calculation (SCAN) on a PBEsol-optimized structure of Re3P.

a b c (Å): 4.301 4.301 4.301
angles (deg): 60.00 60.00 60.00
Fractional positions:
Re  0.000  0.000  0.000
Re  0.250  0.250  0.250
Re  0.750  0.750  0.750
P  0.500  0.500  0.500

Summary:
Energy of formation ... 1.58 eV/f.u.
Relative energy among the computed polymorphs ... 506 meV/atom
Symmetry ... Fm-3m, No. 225

=====

2.
VASP calculation (SCAN) on a PBEsol-optimized structure of Cd3Hg5.

a b c (Å): 8.468 8.468 8.468
angles (deg): 96.41 96.41 140.96
Fractional positions:
Cd  0.174  0.674  0.848
Cd  0.250  0.250  0.000
Cd  0.326  0.174  0.500
Cd  0.674  0.826  0.500
Cd  0.750  0.750  0.000
Cd  0.826  0.326  0.152
Hg  0.072  0.232  0.304
Hg  0.232  0.928  0.160
Hg  0.250  0.750  0.500
Hg  0.268  0.428  0.696
Hg  0.428  0.732  0.160
Hg  0.572  0.268  0.840
Hg  0.732  0.572  0.304
Hg  0.750  0.250  0.500
Hg  0.768  0.072  0.840
Hg  0.928  0.768  0.696

Summary:
Energy of formation ... 0.16 eV/f.u.
Relative energy among the computed polymorphs ... 3 meV/atom
Symmetry ... I4/mcm, No. 140

=====

3.
VASP calculation (SCAN) on a PBEsol-optimized structure of MnZnIr2.

a b c (Å): 2.657 2.657 8.848
angles (deg): 90.00 90.00 119.16
Fractional positions:
Mn  0.000  0.000  0.000
Zn  0.500  0.500  0.758
Ir  0.000  0.000  0.508
Ir  0.500  0.500  0.239

Summary:
Energy of formation ... 0.12 eV/f.u.
Symmetry ... Cmm2, No. 35

=====

4.
VASP calculation (SCAN) on a PBEsol-optimized structure of LiP2Ir.

a b c (Å): 2.867 2.867 6.790
angles (deg): 90.00 90.00 90.00
Fractional positions:
Li  0.000  0.000  0.000
P  0.500  0.500  0.274
P  0.500  0.500  0.726
Ir  0.000  0.000  0.500

Summary:
Energy of formation ... -0.52 eV/f.u.
Relative energy among the computed polymorphs ... 0 meV/atom
Symmetry ... P4/mmm, No. 123

=====

5.
VASP calculation (SCAN) on a PBEsol-optimized structure of Co2HgMo.

a b c (Å): 4.832 4.832 4.832
angles (deg): 136.02 136.02 63.95
Fractional positions:
Co  0.000  0.000  0.000
Co  0.750  0.250  0.500
Hg  0.500  0.500  0.000
Mo  0.250  0.750  0.500

Summary:
Energy of formation ... 2.55 eV/f.u.
Symmetry ... I-4m2, No. 119

=====

6.
VASP calculation (SCAN) on a PBEsol-optimized structure of RbGeNO2.

a b c (Å): 4.317 4.317 4.417
angles (deg): 90.00 90.00 90.00
Fractional positions:
Rb  0.000  0.000  0.000
Ge  0.500  0.500  0.500
N  0.000  0.000  0.500
O  0.000  0.500  0.000
O  0.500  0.000  0.000

Summary:
Formation energy without anion corrections ... 1.79 eV/atom
Symmetry ... P4/mmm, No. 123

=====

7.
VASP calculation (SCAN) on a PBEsol-optimized structure of Nd3Lu.

a b c (Å): 5.010 5.010 5.010
angles (deg): 90.00 90.00 90.00
Fractional positions:
Nd  0.000  0.000  0.500
Nd  0.000  0.500  0.000
Nd  0.500  0.000  0.000
Lu  0.500  0.500  0.500

Summary:
Energy of formation ... 0.04 eV/f.u.
Symmetry ... Pm-3m, No. 221

=====

8.
VASP calculation (SCAN) on a PBEsol-optimized structure of LiMoRuN2.

a b c (Å): 3.841 3.841 4.574
angles (deg): 90.00 90.00 90.00
Fractional positions:
Li  0.000  0.000  0.000
Mo  0.000  0.000  0.500
Ru  0.500  0.500  0.000
N  0.000  0.500  0.500
N  0.500  0.000  0.500

Summary:
Formation energy without anion corrections ... 1.15 eV/atom
Symmetry ... P4/mmm, No. 123

=====

9.
VASP calculation (SCAN) on a PBEsol-optimized structure of KLaCo.

a b c (Å): 4.765 4.765 4.765
angles (deg): 60.00 60.00 60.00
Fractional positions:
K  0.000  0.000  0.000
La  0.250  0.250  0.250
Co  0.500  0.500  0.500

Summary:
Energy of formation ... 3.66 eV/f.u.
Symmetry ... F-43m, No. 216

=====

10.
VASP calculation (SCAN) on a PBEsol-optimized structure of Ba5Au3.

a b c (Å): 9.630 9.630 7.242
angles (deg): 90.00 90.00 120.00
Fractional positions:
Ba  0.000  0.265  0.250
Ba  0.000  0.735  0.750
Ba  0.265  0.000  0.250
Ba  0.265  0.265  0.750
Ba  0.333  0.667  0.000
Ba  0.333  0.667  0.500
Ba  0.667  0.333  0.000
Ba  0.667  0.333  0.500
Ba  0.735  0.000  0.750
Ba  0.735  0.735  0.250
Au  0.000  0.388  0.750
Au  0.000  0.612  0.250
Au  0.388  0.000  0.750
Au  0.388  0.388  0.250
Au  0.612  0.000  0.250
Au  0.612  0.612  0.750

Summary:
Energy of formation ... -5.36 eV/f.u.
Relative energy among the computed polymorphs ... 0 meV/atom
Symmetry ... P6_3/mcm, No. 193

=====

11.
VASP calculation (SCAN) on a PBEsol-optimized structure of TaReBr.

a b c (Å): 5.984 5.984 5.984
angles (deg): 149.83 149.83 43.19
Fractional positions:
Ta  0.000  0.000  0.000
Re  0.372  0.372  0.000
Br  0.682  0.682  0.000

Summary:
Formation energy without anion corrections ... 0.54 eV/atom
Relative energy among the computed polymorphs ... 0 meV/atom
Symmetry ... I4mm, No. 107

=====

12.
VASP calculation (SCAN) on a PBEsol-optimized structure of Rb3LaCl6.

a b c (Å): 8.025 8.025 8.025
angles (deg): 60.78 60.78 60.78
Fractional positions:
Rb  0.000  0.000  0.000
Rb  0.282  0.282  0.282
Rb  0.718  0.718  0.718
La  0.500  0.500  0.500
Cl  0.162  0.701  0.380
Cl  0.299  0.620  0.838
Cl  0.380  0.162  0.701
Cl  0.620  0.838  0.299
Cl  0.701  0.380  0.162
Cl  0.838  0.299  0.620

Summary:
Formation energy without anion corrections ... -2.38 eV/atom
Symmetry ... R-3, No. 148

=====

13.
VASP calculation (SCAN) on a PBEsol-optimized structure of AgSnS2.

a b c (Å): 3.860 3.860 5.316
angles (deg): 90.00 90.00 90.00
Fractional positions:
Ag  0.000  0.000  0.000
Sn  0.500  0.500  0.500
S  0.000  0.000  0.500
S  0.500  0.500  0.000

Summary:
Formation energy without anion corrections ... -0.21 eV/atom
Symmetry ... P4/mmm, No. 123

=====

14.
VASP calculation (SCAN) on a PBEsol-optimized structure of Sn5B2Ir6.

a b c (Å): 6.634 6.634 5.586
angles (deg): 90.00 90.00 120.00
Fractional positions:
Sn  0.000  0.404  0.000
Sn  0.333  0.667  0.500
Sn  0.404  0.000  0.000
Sn  0.596  0.596  0.000
Sn  0.667  0.333  0.500
B  0.000  0.000  0.000
B  0.000  0.000  0.500
Ir  0.000  0.746  0.255
Ir  0.000  0.746  0.745
Ir  0.254  0.254  0.255
Ir  0.254  0.254  0.745
Ir  0.746  0.000  0.255
Ir  0.746  0.000  0.745

Summary:
Energy of formation ... -3.96 eV/f.u.
Symmetry ... P-62m, No. 189

=====

15.
VASP calculation (SCAN) on a PBEsol-optimized structure of Hf2Be2Rh.

a b c (Å): 5.884 5.884 5.884
angles (deg): 142.61 142.61 53.92
Fractional positions:
Hf  0.250  0.750  0.500
Hf  0.750  0.250  0.500
Be  0.089  0.089  0.000
Be  0.911  0.911  0.000
Rh  0.500  0.500  0.000

Summary:
Energy of formation ... 1.62 eV/f.u.
Relative energy among the computed polymorphs ... 859 meV/atom
Symmetry ... I4/mmm, No. 139

=====

16.
VASP calculation (SCAN) on a PBEsol-optimized structure of Si2HgP.

a b c (Å): 4.586 4.586 4.586
angles (deg): 60.00 60.00 60.00
Fractional positions:
Si  0.000  0.000  0.000
Si  0.250  0.250  0.250
Hg  0.500  0.500  0.500
P  0.750  0.750  0.750

Summary:
Formation energy without anion corrections ... 0.91 eV/atom
Symmetry ... F-43m, No. 216

=====

17.
VASP calculation (SCAN) on a PBEsol-optimized structure of CrMo2Au.

a b c (Å): 4.817 4.817 4.817
angles (deg): 133.13 133.13 68.46
Fractional positions:
Cr  0.000  0.000  0.000
Mo  0.250  0.750  0.500
Mo  0.750  0.250  0.500
Au  0.500  0.500  0.000

Summary:
Energy of formation ... 0.66 eV/f.u.
Symmetry ... I4/mmm, No. 139

=====

18.
VASP calculation (SCAN) on a PBEsol-optimized structure of LaTa2Mn.

a b c (Å): 3.969 3.969 4.910
angles (deg): 90.00 90.00 90.00
Fractional positions:
La  0.000  0.000  0.000
Ta  0.000  0.500  0.500
Ta  0.500  0.000  0.500
Mn  0.500  0.500  0.000

Summary:
Energy of formation ... 2.54 eV/f.u.
Relative energy among the computed polymorphs ... 318 meV/atom
Symmetry ... P4/mmm, No. 123

=====

19.
VASP calculation (SCAN) on a PBEsol-optimized structure of SrLiTc2.

a b c (Å): 4.579 4.579 4.579
angles (deg): 60.00 60.00 60.00
Fractional positions:
Sr  0.000  0.000  0.000
Li  0.750  0.750  0.750
Tc  0.250  0.250  0.250
Tc  0.500  0.500  0.500

Summary:
Energy of formation ... 2.86 eV/f.u.
Relative energy among the computed polymorphs ... 0 meV/atom
Symmetry ... F-43m, No. 216

=====

20.
VASP calculation (SCAN) on a PBEsol-optimized structure of YNbGa3.

a b c (Å): 4.857 4.857 4.857
angles (deg): 90.00 90.00 90.00
Fractional positions:
Y  0.000  0.000  0.000
Nb  0.500  0.500  0.500
Ga  0.000  0.500  0.500
Ga  0.500  0.000  0.500
Ga  0.500  0.500  0.000

Summary:
Energy of formation ... -0.58 eV/f.u.
Symmetry ... Pm-3m, No. 221